The following is a PBE calculation of a relaxed structure of ZnSb, from Alexandria via LeMat-Bulk.

Calculated values
ΔE_f (raw): 0.11 eV/atom
calculated density: 6.93 g cm⁻³
N(E_F): 0.69 states/eV/f.u.
raw total energy: -10.4 eV per cell

Structure (extended XYZ):
```
4
Lattice="3.906 0.000 0.000 0.000 5.291 0.000 0.000 0.000 4.339" Properties=species:S:1:pos:R:3 pbc="T T T"
Zn 0.977 1.323 0.529
Zn 2.930 3.968 3.810
Sb 0.977 3.968 1.559
Sb 2.930 1.323 2.780
```